## one
Below is crystalline AlCr2C at its relaxed geometry, with properties calculated at the PBE level.

Structure (POSCAR):
```
AlCr2C
1.0
1.4212 0.8205 6.3653
-1.4212 0.8205 6.3653
0.0000 -1.6410 6.3653
Al Cr C
1 2 1
Direct
0.0000 0.0000 0.0000 Al
0.5572 0.5572 0.5572 Cr
0.7778 0.7778 0.7778 Cr
0.1675 0.1675 0.1675 C
```

Calculated values
space-group type = No. 160

## two
Below is crystalline AlCr2C at its relaxed geometry, with properties calculated at the PBE level.

Structure (POSCAR):
```
AlCr2C
1.0
2.8446 0.0000 0.0000
-1.4223 2.4635 0.0000
0.0000 0.0000 12.6872
Al Cr C
2 4 2
Direct
0.3333 0.6667 0.2500 Al
0.6667 0.3333 0.7500 Al
0.3333 0.6667 0.5848 Cr
0.3333 0.6667 0.9152 Cr
0.6667 0.3333 0.0848 Cr
0.6667 0.3333 0.4152 Cr
0.0000 0.0000 0.0000 C
0.0000 0.0000 0.5000 C
```

Calculated values
space-group type = No. 194

Most stable structure among those shown: two. Next: +13 meV/atom.